Te3SBr, relaxed, DFT PBE-GGA; symmetry = No. 221; energy above the lowest structure with this stoichiometry = 32.6 kJ per mole of atoms; volume = 150 Å³/cell; uncorrected formation energy = 12.3 kcal/mol of atoms
1.0
5.314 0.000 0.000
0.000 5.314 0.000
0.000 0.000 5.314
Te S Br
3 1 1
Cartesian
0.000 0.000 2.657
0.000 2.657 0.000
2.657 0.000 0.000
0.000 0.000 0.000
2.657 2.657 2.657